# 1
VASP calculation (PBE) on an optimized crystal structure of LiPRu.

Summary:
Space group: P-6m2
Raw total energy: -17.84 eV/cell
ΔH_f (0 K): -9.508 kcal/mol of atoms
Total magnetic moment: 0.000 Bohr magnetons per cell

a b c (Å): 3.933 3.933 3.029
angles (deg): 90.00 90.00 120.00
Fractional positions:
1 Li 0.000 0.000 0.000
2 P 0.667 0.333 0.500
3 Ru 0.333 0.667 0.500


# 2
VASP calculation (PBE) on an optimized crystal structure of Ac5MgSn4.

Summary:
Space group: C2/m
Raw total energy: -41.86 eV/cell
ΔH_f (0 K): -8.571 kcal/mol of atoms
Total magnetic moment: 0.000 Bohr magnetons per cell

a b c (Å): 9.200 9.200 9.397
angles (deg): 97.10 97.10 27.76
Fractional positions:
1 Ac 0.000 0.000 0.000
2 Ac 0.321 0.321 0.908
3 Ac 0.341 0.341 0.370
4 Ac 0.659 0.659 0.630
5 Ac 0.679 0.679 0.092
6 Mg 0.000 0.000 0.500
7 Sn 0.144 0.144 0.351
8 Sn 0.479 0.479 0.718
9 Sn 0.521 0.521 0.282
10 Sn 0.856 0.856 0.649


# 3
VASP calculation (PBE) on an optimized crystal structure of Tb3Cd.

Summary:
Space group: Pmm2
Raw total energy: -14.44 eV/cell
ΔH_f (0 K): 2.117 kcal/mol of atoms
ΔE to the lowest computed polymorph: 22.7 kJ/mol of atoms
Total magnetic moment: 0.229 Bohr magnetons per cell

a b c (Å): 3.423 3.454 10.438
angles (deg): 90.00 90.00 90.00
Fractional positions:
1 Tb 0.000 0.000 0.000
2 Tb 0.000 0.500 0.465
3 Tb 0.500 0.500 0.758
4 Cd 0.500 0.000 0.261


# 4
VASP calculation (PBE) on an optimized crystal structure of MgTlHg3.

Summary:
Space group: Pnma
Raw total energy: -20.73 eV/cell
ΔH_f (0 K): -1.459 kcal/mol of atoms
ΔE to the lowest computed polymorph: 0.0 kJ/mol of atoms
Total magnetic moment: 0.000 Bohr magnetons per cell

a b c (Å): 10.257 3.824 13.221
angles (deg): 90.00 90.00 90.00
Fractional positions:
1 Mg 0.110 0.250 0.142
2 Mg 0.390 0.750 0.642
3 Mg 0.610 0.250 0.358
4 Mg 0.890 0.750 0.858
5 Tl 0.155 0.250 0.521
6 Tl 0.345 0.750 0.021
7 Tl 0.655 0.250 0.979
8 Tl 0.845 0.750 0.479
9 Hg 0.096 0.250 0.923
10 Hg 0.121 0.750 0.319
11 Hg 0.130 0.750 0.727
12 Hg 0.370 0.250 0.227
13 Hg 0.379 0.250 0.819
14 Hg 0.404 0.750 0.423
15 Hg 0.596 0.250 0.577
16 Hg 0.621 0.750 0.181
17 Hg 0.630 0.750 0.773
18 Hg 0.870 0.250 0.273
19 Hg 0.879 0.250 0.681
20 Hg 0.904 0.750 0.077


# 5
VASP calculation (PBE) on an optimized crystal structure of LiSiHgH6.

Summary:
Space group: P312
Raw total energy: -26.87 eV/cell
Total magnetic moment: 0.000 Bohr magnetons per cell

a b c (Å): 4.665 4.665 4.880
angles (deg): 90.00 90.00 120.00
Fractional positions:
1 Li 0.000 0.000 0.000
2 Si 0.333 0.667 0.000
3 Hg 0.667 0.333 0.500
4 H 0.049 0.386 0.195
5 H 0.049 0.662 0.805
6 H 0.338 0.386 0.805
7 H 0.338 0.951 0.195
8 H 0.614 0.662 0.195
9 H 0.614 0.951 0.805


# 6
VASP calculation (PBE) on an optimized crystal structure of Li4InPb3.

Summary:
Space group: P4/mmm
Raw total energy: -23.65 eV/cell
ΔH_f (0 K): -6.153 kcal/mol of atoms
Total magnetic moment: 0.000 Bohr magnetons per cell

a b c (Å): 3.536 3.536 13.942
angles (deg): 90.00 90.00 90.00
Fractional positions:
1 Li 0.000 0.000 0.118
2 Li 0.000 0.000 0.371
3 Li 0.000 0.000 0.629
4 Li 0.000 0.000 0.882
5 In 0.500 0.500 0.000
6 Pb 0.500 0.500 0.243
7 Pb 0.500 0.500 0.500
8 Pb 0.500 0.500 0.757


# 7
VASP calculation (PBE) on an optimized crystal structure of VNi2Pt6.

Summary:
Space group: C2/m
Raw total energy: -59.41 eV/cell
ΔH_f (0 K): -6.352 kcal/mol of atoms
Total magnetic moment: 0.667 Bohr magnetons per cell

a b c (Å): 6.079 6.079 6.154
angles (deg): 107.60 107.60 36.91
Fractional positions:
1 V 0.000 0.000 0.000
2 Ni 0.447 0.447 0.669
3 Ni 0.553 0.553 0.331
4 Pt 0.106 0.106 0.671
5 Pt 0.217 0.217 0.331
6 Pt 0.346 0.346 0.998
7 Pt 0.654 0.654 0.002
8 Pt 0.783 0.783 0.669
9 Pt 0.894 0.894 0.329


Looking at ρ for the records above, in order, we have 5.69, 7.39, 7.93, 10.64, 4.36, 7.28, 17.17 g cm⁻³.
Looking at V for the records above, in order, we have 13.52, 36.74, 30.85, 25.92, 10.22, 21.79, 14.39 Å³ per atom.